Entry 1:
Computed, not measured: NbV2Cr after structural relaxation at the PBE level of DFT.

a b c (Å): 2.801 4.852 5.121
angles (deg): 118.28 97.49 90.00
Fractional positions:
V  0.844  0.788  0.577
V  0.156  0.212  0.423
Cr  0.500  0.000  0.000
Nb  0.500  0.500  0.000

Properties
Its symmetry is C2/m (12). For the calculated formation energy, the calculation gives 0.48 eV per atom. As for the energy above the most stable polymorph in this dataset: 0.461 eV per atom.


Entry 2:
Computed, not measured: GdGePt after structural relaxation at the PBE level of DFT.

a b c (Å): 4.414 7.131 7.660
angles (deg): 90.00 90.00 90.00
Site moments in Bohr magnetons follow the coordinates.
Fractional positions:
Pt  0.250  0.205  0.585  -0.01
Pt  0.750  0.295  0.085  -0.01
Pt  0.250  0.705  0.915  -0.01
Pt  0.750  0.795  0.415  -0.01
Ge  0.750  0.188  0.413  -0.01
Ge  0.250  0.812  0.587  -0.01
Ge  0.250  0.312  0.913  -0.01
Ge  0.750  0.688  0.087  -0.01
Gd  0.750  0.504  0.704  6.96
Gd  0.750  0.004  0.796  6.96
Gd  0.250  0.496  0.296  6.97
Gd  0.250  0.996  0.204  6.96

Properties
Its symmetry is Pnma (62). For the calculated formation energy, the calculation gives -1.12 eV per atom.


Entry 3:
Computed, not measured: CaSiMo2 after structural relaxation at the PBE level of DFT.

a b c (Å): 3.525 4.360 4.494
angles (deg): 90.00 90.00 90.00
Fractional positions:
Si  0.500  0.000  0.500
Mo  0.000  0.000  0.000
Mo  0.500  0.500  0.000
Ca  0.000  0.500  0.500

Properties
The value obtained for the formation energy (no corrections) is 1.82 eV per formula unit. Its symmetry is Pmmm (47).


Across the entries above, E_tot takes the values -36.00, -112.38, -27.27 eV for the cell shown, respectively.